# 1
Ta4MoRu | the Alexandria database | GGA-PBE | relaxed; magnetization = 0.00 μB per formula unit; calculated formation energy = 2.37 eV per formula unit; energy above the lowest structure with this stoichiometry = 0.666 eV/atom
1.0
7.612 0.000 0.000
0.000 4.397 0.000
-2.525 0.000 7.164
Ta Mo Ru
8 2 2
Direct
0.125 0.000 0.374 Ta
0.126 0.500 0.877 Ta
0.374 0.000 0.123 Ta
0.375 0.500 0.626 Ta
0.625 0.500 0.374 Ta
0.626 0.000 0.877 Ta
0.874 0.500 0.123 Ta
0.875 0.000 0.626 Ta
0.000 0.500 0.500 Mo
0.500 0.000 0.500 Mo
0.000 0.000 0.000 Ru
0.500 0.500 0.000 Ru


# 2
Ta6MoRu2 | the Alexandria database | GGA-PBE | relaxed; magnetization = 0.00 μB per formula unit; calculated formation energy = 2.85 eV per formula unit
1.0
-2.191 3.104 6.561
2.191 -3.104 6.561
2.191 3.104 -6.561
Ta Mo Ru
6 1 2
Direct
0.082 0.333 0.749 Ta
0.248 0.000 0.248 Ta
0.416 0.667 0.749 Ta
0.584 0.333 0.251 Ta
0.752 0.000 0.752 Ta
0.918 0.667 0.251 Ta
0.500 0.500 0.000 Mo
0.168 0.168 0.000 Ru
0.832 0.832 0.000 Ru


# 3
Ta6Mo5Ru | the Alexandria database | GGA-PBE | relaxed; magnetization = 0.00 μB per formula unit; calculated formation energy = -3.27 eV per formula unit
1.0
7.210 -3.219 0.000
7.210 3.219 0.000
-1.427 0.000 4.316
Ta Mo Ru
6 5 1
Direct
0.084 0.584 0.334 Ta
0.250 0.750 0.000 Ta
0.416 0.916 0.666 Ta
0.584 0.084 0.334 Ta
0.750 0.250 0.000 Ta
0.916 0.416 0.666 Ta
0.000 0.000 0.500 Mo
0.167 0.167 0.167 Mo
0.334 0.334 0.835 Mo
0.666 0.666 0.165 Mo
0.833 0.833 0.833 Mo
0.500 0.500 0.500 Ru


# 4
Ta2MoRu | the Alexandria database | GGA-PBE | relaxed; magnetization = 0.00 μB per formula unit; calculated formation energy = -1.41 eV per formula unit; energy above the lowest structure with this stoichiometry = 0.025 eV/atom
1.0
3.203 0.000 0.000
0.000 3.203 0.000
0.000 0.000 6.404
Ta Mo Ru
2 1 1
Direct
0.000 0.000 0.247 Ta
0.000 0.000 0.753 Ta
0.500 0.500 0.000 Mo
0.500 0.500 0.500 Ru